A relaxed Sm3BSb crystal. Source: Alexandria, functional PBE.

Summary:
* N(E_F): 0.591 states/eV/atom
* formation energy from raw total energies: -464 meV per atom
* volume: 134 Å³ per cell
* space group: Pm-3m, No. 221

Unit cell a=5.1152 b=5.1152 c=5.1152 alpha=90.00 beta=90.00 gamma=90.00
Closest atoms and distances in Å follow each position.
Atoms (fractional coordinates):
1 Sm 0.0000 0.0000 0.5000  2 B 2.56
2 Sm 0.5000 0.0000 0.0000  2 B 2.56
3 Sb 0.5000 0.5000 0.5000  12 Sm 3.62
4 B 0.0000 0.0000 0.0000  6 Sm 2.56
5 Sm 0.0000 0.5000 0.0000  2 B 2.56